No. 1
VASP calculation (PBE-GGA) on an optimized crystal structure of AlPRuS2.

Cell lengths 4.476, 4.476, 4.509 Å; angles 90.00, 90.00, 90.00 degrees
Atoms (fractional coordinates):
Ru 0.500 0.500 0.500
S 0.000 0.500 0.000
S 0.500 0.000 0.000
Al 0.000 0.000 0.000
P 0.000 0.000 0.500

Results
Energy relative to the lowest polymorph listed for this composition in eV/f.u.: 1.68
Space-group type: P4/mmm, No. 123
D(E_F) in states/eV per cell: 2.5
Energy relative to the elements, uncorrected in eV/atom: 0.799


No. 2
VASP calculation (PBE-GGA) on an optimized crystal structure of AlP2RuS.

Cell lengths 4.427, 4.427, 5.213 Å; angles 90.00, 90.00, 90.00 degrees
Atoms (fractional coordinates):
Ru 0.000 0.000 0.000
S 0.000 0.000 0.500
Al 0.500 0.500 0.500
P 0.000 0.500 0.000
P 0.500 0.000 0.000

Results
Energy relative to the lowest polymorph listed for this composition in eV/f.u.: 0.00
Space-group type: P4/mmm, No. 123
D(E_F) in states/eV per cell: 4.3
Energy relative to the elements, uncorrected in eV/atom: 0.495


No. 3
VASP calculation (PBE-GGA) on an optimized crystal structure of AlPRuS2.

Cell lengths 4.794, 4.794, 4.383 Å; angles 90.00, 90.00, 90.00 degrees
Atoms (fractional coordinates):
Ru 0.000 0.000 0.000
S 0.000 0.500 0.000
S 0.500 0.000 0.000
Al 0.500 0.500 0.500
P 0.000 0.000 0.500

Results
Energy relative to the lowest polymorph listed for this composition in eV/f.u.: 0.00
Space-group type: P4/mmm, No. 123
D(E_F) in states/eV per cell: 6.0
Energy relative to the elements, uncorrected in eV/atom: 0.462


No. 4
VASP calculation (PBE-GGA) on an optimized crystal structure of AlP2RuS.

Cell lengths 4.532, 4.532, 4.501 Å; angles 90.00, 90.00, 90.00 degrees
Last column: magnetic moment on the atom in μB.
Atoms (fractional coordinates):
Ru 0.500 0.500 0.500  1.49
S 0.000 0.000 0.500  -0.05
Al 0.000 0.000 0.000  0.00
P 0.000 0.500 0.000  -0.08
P 0.500 0.000 0.000  -0.08

Results
Energy relative to the lowest polymorph listed for this composition in eV/f.u.: 2.46
Space-group type: P4/mmm, No. 123
D(E_F) in states/eV per cell: 5.6
Energy relative to the elements, uncorrected in eV/atom: 0.986


No. 5
VASP calculation (PBE-GGA) on an optimized crystal structure of AlTcPRu.

Cell lengths 4.200, 4.200, 4.200 Å; angles 60.00, 60.00, 60.00 degrees
Atoms (fractional coordinates):
Ru 0.750 0.750 0.750
Al 0.500 0.500 0.500
Tc 0.250 0.250 0.250
P 0.000 0.000 0.000

Results
Energy relative to the elements in eV/atom: -0.38
Space-group type: F-43m, No. 216
D(E_F) in states/eV per cell: 2.0


No. 6
VASP calculation (PBE-GGA) on an optimized crystal structure of UAlP2Ru5.

Cell lengths 4.116, 4.116, 8.106 Å; angles 90.00, 90.00, 90.00 degrees
Atoms (fractional coordinates):
U 0.000 0.000 0.500
Al 0.000 0.000 0.000
P 0.500 0.500 0.132
P 0.500 0.500 0.868
Ru 0.000 0.500 0.253
Ru 0.500 0.000 0.253
Ru 0.000 0.500 0.747
Ru 0.500 0.000 0.747
Ru 0.500 0.500 0.500

Results
Energy relative to the elements in eV/atom: -0.44
Space-group type: P4/mmm, No. 123
D(E_F) in states/eV per cell: 4.1